Run i
First-principles (PBE) data for a relaxed PmH3Pd2 crystal, as listed in the Alexandria database. Values from VASP.

The value obtained for the volume is 12.3 Å³/atom. The calculation puts the theoretical density at 8.12 g cm⁻³. The density of states at the Fermi level is 0.0106 states/eV per atom.

Quantum ESPRESSO input file:
```
&SYSTEM
  ibrav = 0, nat = 12, ntyp = 3
/
ATOMIC_SPECIES
Pm 145.00 Pm.upf
H 1.01 H.upf
Pd 106.42 Pd.upf
CELL_PARAMETERS angstrom
3.804 -3.801 0.000
3.804 3.801 0.000
-1.570 0.000 5.102
ATOMIC_POSITIONS crystal
Pm 0.195 0.805 0.500
Pm 0.805 0.195 0.000
H 0.072 0.280 0.462
H 0.280 0.072 0.962
H 0.316 0.552 0.113
H 0.552 0.316 0.613
H 0.745 0.883 0.521
H 0.883 0.745 0.021
Pd 0.253 0.364 0.781
Pd 0.364 0.253 0.281
Pd 0.619 0.743 0.179
Pd 0.743 0.619 0.679
```


Run ii
First-principles (PBE) data for a relaxed PmH3Pd2 crystal, as listed in the Alexandria database. Values from VASP.

The value obtained for the volume is 13.0 Å³/atom. The calculation puts the theoretical density at 7.69 g cm⁻³. The density of states at the Fermi level is 0.0516 states/eV per atom.

Quantum ESPRESSO input file:
```
&SYSTEM
  ibrav = 0, nat = 12, ntyp = 3
/
ATOMIC_SPECIES
Pm 145.00 Pm.upf
H 1.01 H.upf
Pd 106.42 Pd.upf
CELL_PARAMETERS angstrom
3.642 -3.976 0.000
3.642 3.976 0.000
0.000 0.000 5.384
ATOMIC_POSITIONS crystal
Pm 0.197 0.803 0.750
Pm 0.803 0.197 0.250
H 0.077 0.258 0.750
H 0.258 0.077 0.250
H 0.460 0.540 0.250
H 0.540 0.460 0.750
H 0.742 0.923 0.750
H 0.923 0.742 0.250
Pd 0.305 0.305 0.000
Pd 0.305 0.305 0.500
Pd 0.695 0.695 0.000
Pd 0.695 0.695 0.500
```


Order from most stable to least stable according to the calculation: run i, run ii